# Y12HoEr5, relaxed, DFT PBE-GGA
# - total energy (eV per cell) = -209.39
# - calculated volume (Å³ per cell) = 1140
# - energy relative to the elements (meV/atom) = 15
data_Y12HoEr5
_symmetry_space_group_name_H-M 'C 1 2/m 1'
_symmetry_Int_Tables_number 12
_cell_length_a 6.1721
_cell_length_b 10.6905
_cell_length_c 17.3951
_cell_angle_alpha 90.00
_cell_angle_beta 96.79
_cell_angle_gamma 90.00
loop_
_symmetry_equiv_pos_as_xyz
'x,y,z'
'-x,-y,-z'
'-x,y,-z'
'x,-y,z'
'x+1/2,y+1/2,z'
'-x+1/2,-y+1/2,-z'
'-x+1/2,y+1/2,-z'
'x+1/2,-y+1/2,z'
loop_
_atom_site_label
_atom_site_type_symbol
_atom_site_fract_x
_atom_site_fract_y
_atom_site_fract_z
Y1 Y 0.1114 0.0000 0.3332
Y2 Y 0.1114 0.3333 0.3332
Y3 Y 0.2214 0.5000 0.1656
Y4 Y 0.2216 0.1668 0.1656
Ho1 Ho 0.0000 0.0000 0.0000
Er1 Er 0.0000 0.1666 0.5000
Er2 Er 0.0000 0.3333 0.0000
Er3 Er 0.0000 0.5000 0.5000

***

# CdBPt3, relaxed, DFT PBE-GGA
# - total energy (eV per cell) = -90.96
# - calculated volume (Å³ per cell) = 451
# - offset from the most stable computed form (meV/atom) = 947
# - energy relative to the elements (meV/atom) = 595
data_CdBPt3
_symmetry_space_group_name_H-M 'I -4 m 2'
_symmetry_Int_Tables_number 119
_symmetry_space_group_name_Hall 'I -4 -2'
_cell_length_a 4.7499
_cell_length_b 4.7499
_cell_length_c 20.0013
_cell_angle_alpha 90.00
_cell_angle_beta 90.00
_cell_angle_gamma 90.00
loop_
_atom_site_label
_atom_site_type_symbol
_atom_site_fract_x
_atom_site_fract_y
_atom_site_fract_z
Cd1 Cd 0.0000 0.0000 0.0000
Cd2 Cd 0.0000 0.5000 0.2500
B1 B 0.0000 0.5000 0.6307
Pt1 Pt 0.0000 0.0000 0.3653
Pt2 Pt 0.0000 0.2463 0.1257

***

# B2TeF2, relaxed, DFT PBE-GGA
# - total energy (eV per cell) = -35.12
# - raw formation energy (eV per atom) = 0.5358
# - calculated volume (Å³ per cell) = 118
# - offset from the most stable computed form (meV/atom) = 552
data_B2TeF2
_symmetry_space_group_name_H-M 'I 4/m m m'
_symmetry_Int_Tables_number 139
_symmetry_space_group_name_Hall '-I 4 2'
_cell_length_a 3.5667
_cell_length_b 3.5667
_cell_length_c 9.2941
_cell_angle_alpha 90.00
_cell_angle_beta 90.00
_cell_angle_gamma 90.00
loop_
_atom_site_label
_atom_site_type_symbol
_atom_site_fract_x
_atom_site_fract_y
_atom_site_fract_z
B1 B 0.0000 0.0000 0.0909
Te1 Te 0.0000 0.0000 0.5000
F1 F 0.0000 0.5000 0.2500

***

# Th2PaTl, relaxed, DFT PBE-GGA
# - total energy (eV per cell) = -76.72
# - calculated volume (Å³ per cell) = 350
# - offset from the most stable computed form (meV/atom) = 211
# - energy relative to the elements (meV/atom) = 282
data_Th2PaTl
_symmetry_space_group_name_H-M 'R -3 m'
_symmetry_Int_Tables_number 166
_symmetry_space_group_name_Hall '-R 3 2"'
_cell_length_a 3.3229
_cell_length_b 3.3229
_cell_length_c 36.5753
_cell_angle_alpha 90.00
_cell_angle_beta 90.00
_cell_angle_gamma 120.00
loop_
_atom_site_label
_atom_site_type_symbol
_atom_site_fract_x
_atom_site_fract_y
_atom_site_fract_z
Th1 Th 0.0000 0.0000 0.0881
Pa1 Pa 0.0000 0.0000 0.0000
Tl1 Tl 0.0000 0.0000 0.5000